VASP calculation (PBE) on a relaxed structure of Li5AlBi6.

```
Li5AlBi6
1.0
2.6050 -7.7998 0.0000
2.6050 7.7998 0.0000
-0.0068 0.0000 7.1362
Li Al Bi
5 1 6
Cartesian
0.0000 0.0000 0.0000
2.6016 2.6709 3.5681
2.6050 2.5791 0.0000
2.6050 -2.5791 0.0000
2.6016 -2.6709 3.5681
-0.0034 0.0000 3.5681
2.6043 5.2522 1.7672
2.5990 5.2522 5.3689
2.6057 0.0000 1.7984
2.5975 0.0000 5.3378
2.6043 -5.2522 1.7672
2.5990 -5.2522 5.3689
```

Properties
**Energy of formation**: -0.2318 eV/atom
**SG**: C2/m, No. 12
**Density of states at the Fermi level**: 5.1 states/eV/cell